# 1
Compound: KFeRh
Source: the Alexandria database
Functional: GGA-PBE
Structure: optimized geometry

abc: 3.039 4.170 12.067
angles: 89.98 82.79 90.00
Atoms (fractional coordinates):
K 0.000 0.000 0.000
K 0.325 0.501 0.341
Fe 0.116 0.502 0.762
Fe 0.208 0.002 0.579
Rh 0.621 0.002 0.753
Rh 0.703 0.502 0.588

***

# 2
Compound: K2FeRh
Source: the Alexandria database
Functional: GGA-PBE
Structure: optimized geometry

abc: 2.907 5.398 5.725
angles: 90.00 90.00 90.00
Atoms (fractional coordinates):
K 0.000 0.000 0.246
K 0.000 0.000 0.754
Fe 0.500 0.500 0.500
Rh 0.500 0.500 0.000

***

# 3
Compound: KFeRh
Source: the Alexandria database
Functional: GGA-PBE
Structure: optimized geometry

abc: 4.075 4.075 10.867
angles: 90.00 90.00 120.00
Atoms (fractional coordinates):
K 0.000 0.000 0.000
K 0.000 0.000 0.500
Fe 0.333 0.667 0.250
Fe 0.667 0.333 0.750
Rh 0.333 0.667 0.750
Rh 0.667 0.333 0.250

***

# 4
Compound: KFeRh2
Source: the Alexandria database
Functional: GGA-PBE
Structure: optimized geometry

abc: 4.908 4.908 6.249
angles: 99.89 99.89 35.40
Atoms (fractional coordinates):
K 0.000 0.000 0.000
Fe 0.790 0.790 0.379
Rh 0.222 0.222 0.644
Rh 0.495 0.495 0.502

***

# 5
Compound: KFeRh
Source: the Alexandria database
Functional: GGA-PBE
Structure: optimized geometry

abc: 6.507 6.507 4.448
angles: 90.04 90.04 45.68
Atoms (fractional coordinates):
K 0.239 0.761 0.500
K 0.761 0.239 0.000
Fe 0.129 0.392 0.003
Fe 0.392 0.129 0.503
Rh 0.587 0.878 0.003
Rh 0.878 0.587 0.503

***

# 6
Compound: KFeRh
Source: the Alexandria database
Functional: GGA-PBE
Structure: optimized geometry

abc: 12.217 4.980 4.387
angles: 90.00 90.00 90.00
Atoms (fractional coordinates):
K 0.228 0.250 0.017
K 0.272 0.750 0.517
K 0.728 0.250 0.483
K 0.772 0.750 0.983
Fe 0.000 0.000 0.500
Fe 0.000 0.500 0.500
Fe 0.500 0.000 0.000
Fe 0.500 0.500 0.000
Rh 0.029 0.750 0.000
Rh 0.471 0.250 0.500
Rh 0.529 0.750 0.500
Rh 0.971 0.250 0.000

***

# 7
Compound: KFeRh
Source: the Alexandria database
Functional: GGA-PBE
Structure: optimized geometry

abc: 5.742 5.742 9.076
angles: 90.00 90.00 120.00
Atoms (fractional coordinates):
K 0.333 0.667 0.250
K 0.667 0.333 0.750
Fe 0.000 0.000 0.250
Fe 0.000 0.000 0.750
Rh 0.000 0.000 0.000
Rh 0.000 0.000 0.500

***

# 8
Compound: KFeRh2
Source: the Alexandria database
Functional: GGA-PBE
Structure: optimized geometry

abc: 5.283 5.283 2.623
angles: 90.00 90.00 111.50
Atoms (fractional coordinates):
K 0.000 0.000 0.000
Fe 0.500 0.500 0.000
Rh 0.000 0.500 0.500
Rh 0.500 0.000 0.500

***

Number 1: energy above the lowest structure with this stoichiometry 1 kJ/mol of formula units, calculated formation energy 0.313 eV/atom, final energy -31.9 eV for the cell shown. Number 2: energy above the lowest structure with this stoichiometry 222 kJ/mol of formula units, calculated formation energy 1.031 eV/atom, final energy -13.9 eV for the cell shown. Number 3: energy above the lowest structure with this stoichiometry 114 kJ/mol of formula units, calculated formation energy 0.703 eV/atom, final energy -29.6 eV for the cell shown. Number 4: energy above the lowest structure with this stoichiometry 66 kJ/mol of formula units, calculated formation energy 0.537 eV/atom, final energy -22.1 eV for the cell shown. Number 5: energy above the lowest structure with this stoichiometry 31 kJ/mol of formula units, calculated formation energy 0.416 eV/atom, final energy -31.3 eV for the cell shown. Number 6: energy above the lowest structure with this stoichiometry 22 kJ/mol of formula units, calculated formation energy 0.385 eV/atom, final energy -63.0 eV for the cell shown. Number 7: energy above the lowest structure with this stoichiometry 324 kJ/mol of formula units, calculated formation energy 1.430 eV/atom, final energy -25.2 eV for the cell shown. Number 8: energy above the lowest structure with this stoichiometry 182 kJ/mol of formula units, calculated formation energy 0.838 eV/atom, final energy -20.9 eV for the cell shown.